# 1
This record from Alexandria via LeMat-Bulk describes Ca2MgZn after structural relaxation. The functional is PBE.

Cell and atoms, written as extended XYZ:
```
4
Lattice="3.6956 0.0000 0.0000 0.0000 3.6956 0.0000 0.0000 0.0000 8.4146" Properties=species:S:1:pos:R:3 pbc="T T T"
Ca 0.0000 0.0000 0.0000
Ca 1.8478 1.8478 2.9709
Mg 0.0000 0.0000 5.1610
Zn 1.8478 1.8478 6.5411
```

DFT formation energy: -0.095 eV/atom
Electronic total energy: -1.8128 eV per atom
Energy relative to the lowest polymorph listed for this composition: 68 meV per atom



# 2
This record from Alexandria via LeMat-Bulk describes CaMg10Zn2 after structural relaxation. The functional is PBE.

Cell and atoms, written as extended XYZ:
```
13
Lattice="0.0000 7.1062 7.1342 2.9087 0.0000 7.1342 2.9087 7.1062 0.0000" Properties=species:S:1:pos:R:3 pbc="T T T"
Ca 0.0000 0.0000 0.0000
Mg 1.4544 3.5531 0.0000
Mg 2.9087 4.7183 2.5776
Mg 2.9087 5.6306 5.5252
Mg 2.9087 9.4941 2.5776
Mg 2.9087 8.5818 5.5252
Mg 1.4544 3.5531 7.1342
Mg 2.9087 5.6306 8.7431
Mg 2.9087 4.7183 11.6907
Mg 2.9087 8.5818 8.7431
Mg 2.9087 9.4941 11.6907
Zn 1.4544 0.0000 3.5671
Zn 1.4544 7.1062 3.5671
```

DFT formation energy: -0.061 eV/atom
Electronic total energy: -1.6375 eV per atom